[1]
GGA-PBE TlGa3As, relaxed; energy of formation from the pure elements = 0.31 eV per atom; symmetry = Pm-3m; polymorph energy (0 for the lowest one) = 0.000 eV/atom
1.0
5.163 0.000 0.000
0.000 5.163 0.000
0.000 0.000 5.163
Tl As Ga
1 1 3
direct
0.500 0.500 0.500
0.000 0.000 0.000
0.000 0.500 0.000
0.000 0.000 0.500
0.500 0.000 0.000



[2]
GGA-PBE PrNd2Se4, relaxed; symmetry = Cmcm; polymorph energy (0 for the lowest one) = 0.000 eV/atom
1.0
-1.576 -2.764 -2.621
6.867 -2.095 1.322
-4.499 -7.828 10.959
Pr Nd Se
2 4 8
direct
0.626 0.251 0.750
0.374 0.749 0.250
0.130 0.260 0.430
0.870 0.740 0.930
0.130 0.260 0.070
0.870 0.740 0.570
0.776 0.553 0.123
0.776 0.553 0.377
0.224 0.447 0.877
0.224 0.447 0.623
0.970 0.941 0.750
0.030 0.059 0.250
0.500 0.000 0.000
0.500 0.000 0.500



Question: Number 2 is which compound?
Answer: PrNd2Se4



Please write out number 1 again, unchanged.
GGA-PBE TlGa3As, relaxed; energy of formation from the pure elements = 0.31 eV per atom; symmetry = Pm-3m; polymorph energy (0 for the lowest one) = 0.000 eV/atom
1.0
5.163 0.000 0.000
0.000 5.163 0.000
0.000 0.000 5.163
Tl As Ga
1 1 3
direct
0.500 0.500 0.500
0.000 0.000 0.000
0.000 0.500 0.000
0.000 0.000 0.500
0.500 0.000 0.000



Question: polymorph energy (0 for the lowest one) of number 2 (PrNd2Se4)?
Answer: 0.000 eV/atom